Record 1
# Zr2Sc

A relaxed structure of Zr2Sc (GGA-PBE, the Alexandria database).

The calculated total energy is -7.821 eV/atom.

It has space group Cm (No. 8), with a = 11.752 Å, b = 3.241 Å, c = 7.636 Å, α = 90.00°, β = 103.62° and γ = 90.00°. Symmetry generates all atoms from Zr at (0.000, 0.000, 0.000), Zr at (0.056, 0.000, 0.614), Zr at (0.222, 0.500, 0.946), Zr at (0.389, 0.000, 0.276), Sc at (0.163, 0.500, 0.331) and Sc at (0.334, 0.000, 0.666).

---

Record 2
# BeNiHg3

A relaxed structure of BeNiHg3 (GGA-PBE, the Alexandria database).

The calculated total energy is -1.372 eV/atom. The calculation puts the energy relative to the lowest polymorph listed for this composition at 40 meV/atom.

It has space group Pm-3m (No. 221), with a = 5.020 Å, b = 5.020 Å, c = 5.020 Å, α = 90.00°, β = 90.00° and γ = 90.00°. Symmetry generates all atoms from Be at (0.000, 0.000, 0.000), Ni at (0.500, 0.500, 0.500) and Hg at (0.000, 0.500, 0.500).

---

| no. | spin magnetization (Bohr magnetons per cell) | DFT formation energy (meV per atom) |
| --- | --- | --- |
| 1 | 0.0 | -12.2 |
| 2 | 0.0 | 710.1 |